[1]
A plane-wave DFT calculation with GGA-PBE was carried out for Th2UGe3Ir4 after structural relaxation.

a b c (Å): 4.2305 4.2305 11.1199
angles (deg): 90.00 90.00 90.00
Space group P-4m2 (No. 115)
Inequivalent atoms, fractional coordinates:
Th1 0.0000 0.5000 0.2275
U1 0.0000 0.0000 0.5000
Ge1 0.0000 0.5000 0.8751
Ge2 0.5000 0.5000 0.5000
Ir1 0.0000 0.0000 0.0000
Ir2 0.0000 0.5000 0.6519
Ir3 0.5000 0.5000 0.0000

- calculated total energy (eV for the cell shown) = -82.7
- DOS(E_F) (states/eV per cell) = 11.02
- formation energy (eV per atom) = -0.73

[2]
A plane-wave DFT calculation with GGA-PBE was carried out for CaMg2Pt after structural relaxation.

a b c (Å): 4.3595 4.1739 4.6910
angles (deg): 90.00 90.63 90.00
Space group P2/m (No. 10)
Inequivalent atoms, fractional coordinates:
Ca1 0.0000 0.0000 0.0000
Mg1 0.0000 0.5000 0.5000
Mg2 0.5000 0.0000 0.5000
Pt1 0.5000 0.5000 0.0000

- calculated total energy (eV for the cell shown) = -12.9
- DOS(E_F) (states/eV per cell) = 2.22
- formation energy (eV per atom) = -0.42

[3]
A plane-wave DFT calculation with GGA-PBE was carried out for PrSc3Te6 after structural relaxation.

a b c (Å): 12.1171 4.2494 12.4168
angles (deg): 90.00 109.33 90.00
Space group P2_1/m (No. 11)
Inequivalent atoms, fractional coordinates:
Pr1 0.0510 0.2500 0.2024
Sc1 0.1556 0.2500 0.5852
Sc2 0.3190 0.7500 0.9976
Sc3 0.4407 0.2500 0.3394
Te1 0.0849 0.7500 0.4117
Te2 0.1232 0.2500 0.9691
Te3 0.2027 0.7500 0.7487
Te4 0.2699 0.7500 0.2267
Te5 0.3895 0.2500 0.5588
Te6 0.4796 0.2500 0.1161

- calculated total energy (eV for the cell shown) = -110.5
- DOS(E_F) (states/eV per cell) = 0.55
- energy relative to the elements, uncorrected (meV/atom) = -1263

[4]
A plane-wave DFT calculation with GGA-PBE was carried out for BeTeAsSe2 after structural relaxation.

a b c (Å): 5.3317 5.3317 5.3728
angles (deg): 90.00 90.00 90.00
Space group P4/mmm (No. 123)
Inequivalent atoms, fractional coordinates:
Be1 0.0000 0.0000 0.0000
Te1 0.5000 0.5000 0.5000
As1 0.5000 0.5000 0.0000
Se1 0.0000 0.5000 0.5000

- calculated total energy (eV for the cell shown) = -12.6
- offset from the most stable computed form (eV per atom) = 0.858
- DOS(E_F) (states/eV per cell) = 4.39
- energy relative to the elements, uncorrected (meV/atom) = 1186

[5]
A plane-wave DFT calculation with GGA-PBE was carried out for NbPdN2 after structural relaxation.

a b c (Å): 3.1322 3.1322 18.6492
angles (deg): 90.00 90.00 120.00
Space group R-3m (No. 166, hexagonal axes)
Inequivalent atoms, fractional coordinates:
Nb1 0.0000 0.0000 0.0000
Pd1 0.0000 0.0000 0.5000
N1 0.0000 0.0000 0.3920

- calculated total energy (eV for the cell shown) = -99.1
- offset from the most stable computed form (eV per atom) = 0.000
- DOS(E_F) (states/eV per cell) = 4.14
- energy relative to the elements, uncorrected (meV/atom) = -280